The following is a PBE calculation of NaLaPmSe3 after structural relaxation, from Alexandria via LeMat-Bulk.

Output
Its space group is No. 11.

POSCAR file:
```
NaLaPmSe3
1.0
8.636 0.000 0.000
0.000 4.203 0.000
-2.350 0.000 9.036
Na La Pm Se
2 2 2 6
Direct
0.097 0.250 0.085
0.903 0.750 0.915
0.198 0.250 0.723
0.802 0.750 0.277
0.336 0.750 0.347
0.664 0.250 0.653
0.092 0.250 0.377
0.248 0.750 0.988
0.434 0.750 0.673
0.566 0.250 0.327
0.752 0.250 0.012
0.908 0.750 0.623
```


The following is a PBE calculation of NaLa3Pm4Se8 after structural relaxation, from Alexandria via LeMat-Bulk.

Output
Its space group is No. 166.

POSCAR file:
```
NaLa3Pm4Se8
1.0
4.240 2.448 6.965
-4.240 2.448 6.965
0.000 -4.896 6.965
Na La Pm Se
1 3 4 8
Direct
0.000 0.000 0.000
0.000 0.500 0.500
0.500 0.000 0.500
0.500 0.500 0.000
0.000 0.000 0.500
0.000 0.500 0.000
0.500 0.000 0.000
0.500 0.500 0.500
0.244 0.751 0.751
0.248 0.248 0.248
0.249 0.249 0.756
0.249 0.756 0.249
0.751 0.244 0.751
0.751 0.751 0.244
0.752 0.752 0.752
0.756 0.249 0.249
```


The following is a PBE calculation of NaLaPmSi after structural relaxation, from Alexandria via LeMat-Bulk.

Output
Its space group is No. 216.

POSCAR file:
```
NaLaPmSi
1.0
0.000 3.746 3.746
3.746 0.000 3.746
3.746 3.746 0.000
Na La Pm Si
1 1 1 1
Direct
0.000 0.000 0.000
0.250 0.250 0.250
0.750 0.750 0.750
0.500 0.500 0.500
```


The following is a PBE calculation of Na3La2PmTe6 after structural relaxation, from Alexandria via LeMat-Bulk.

Output
Its space group is No. 12.

POSCAR file:
```
Na3La2PmTe6
1.0
3.990 -6.911 0.000
3.990 6.911 0.000
-2.661 0.000 7.523
Na La Pm Te
3 2 1 6
Direct
0.000 0.000 0.000
0.332 0.668 0.000
0.668 0.332 0.000
0.167 0.833 0.500
0.833 0.167 0.500
0.500 0.500 0.500
0.092 0.420 0.260
0.252 0.252 0.740
0.420 0.092 0.260
0.580 0.908 0.740
0.748 0.748 0.260
0.908 0.580 0.740
```


The following is a PBE calculation of NaLa4Pm3Te8 after structural relaxation, from Alexandria via LeMat-Bulk.

Output
Its space group is No. 166.

POSCAR file:
```
NaLa4Pm3Te8
1.0
4.544 2.624 7.363
-4.544 2.624 7.363
0.000 -5.247 7.363
Na La Pm Te
1 4 3 8
Direct
0.000 0.000 0.000
0.000 0.000 0.500
0.000 0.500 0.000
0.500 0.000 0.000
0.500 0.500 0.500
0.000 0.500 0.500
0.500 0.000 0.500
0.500 0.500 0.000
0.246 0.246 0.749
0.246 0.749 0.246
0.251 0.754 0.754
0.252 0.252 0.252
0.748 0.748 0.748
0.749 0.246 0.246
0.754 0.251 0.754
0.754 0.754 0.251
```


The following is a PBE calculation of Na2La3PmTe6 after structural relaxation, from Alexandria via LeMat-Bulk.

Output
Its space group is No. 12.

POSCAR file:
```
Na2La3PmTe6
1.0
3.965 -6.861 0.000
3.965 6.861 0.000
-2.638 0.000 7.408
Na La Pm Te
2 3 1 6
Direct
0.166 0.834 0.000
0.834 0.166 0.000
0.000 0.000 0.500
0.331 0.669 0.500
0.669 0.331 0.500
0.500 0.500 0.000
0.088 0.419 0.756
0.253 0.253 0.248
0.419 0.088 0.756
0.581 0.912 0.244
0.747 0.747 0.752
0.912 0.581 0.244
```


The following is a PBE calculation of Na3LaPm2Te6 after structural relaxation, from Alexandria via LeMat-Bulk.

Output
Its space group is No. 12.

POSCAR file:
```
Na3LaPm2Te6
1.0
3.954 -6.849 0.000
3.954 6.849 0.000
-2.638 0.000 7.546
Na La Pm Te
3 1 2 6
Direct
0.000 0.000 0.000
0.334 0.666 0.000
0.666 0.334 0.000
0.500 0.500 0.500
0.167 0.833 0.500
0.833 0.167 0.500
0.082 0.420 0.261
0.241 0.241 0.739
0.420 0.082 0.261
0.580 0.918 0.739
0.759 0.759 0.261
0.918 0.580 0.739
```


The following is a PBE calculation of NaLa2Pm3Te6 after structural relaxation, from Alexandria via LeMat-Bulk.

Output
Its space group is No. 12.

POSCAR file:
```
NaLa2Pm3Te6
1.0
9.879 -2.249 0.000
9.879 2.249 0.000
-2.172 0.000 8.827
Na La Pm Te
1 2 3 6
Direct
0.000 0.000 0.000
0.333 0.333 0.665
0.667 0.667 0.335
0.000 0.000 0.500
0.334 0.334 0.175
0.666 0.666 0.825
0.164 0.164 0.585
0.167 0.167 0.075
0.499 0.499 0.250
0.501 0.501 0.750
0.833 0.833 0.925
0.836 0.836 0.415
```


The following is a PBE calculation of NaLa3Pm3Te8 after structural relaxation, from Alexandria via LeMat-Bulk.

Output
Its space group is No. 166.

POSCAR file:
```
NaLa3Pm3Te8
1.0
4.508 2.603 7.377
-4.508 2.603 7.377
0.000 -5.206 7.377
Na La Pm Te
1 3 3 8
Direct
0.000 0.000 0.000
0.000 0.000 0.500
0.000 0.500 0.000
0.500 0.000 0.000
0.000 0.500 0.500
0.500 0.000 0.500
0.500 0.500 0.000
0.253 0.253 0.253
0.254 0.254 0.742
0.254 0.742 0.254
0.258 0.746 0.746
0.742 0.254 0.254
0.746 0.258 0.746
0.746 0.746 0.258
0.747 0.747 0.747
```


The following is a PBE calculation of NaLaPmTe3 after structural relaxation, from Alexandria via LeMat-Bulk.

Output
Its space group is No. 11.

POSCAR file:
```
NaLaPmTe3
1.0
9.114 0.000 0.000
0.000 4.462 0.000
-2.648 0.000 9.650
Na La Pm Te
2 2 2 6
Direct
0.095 0.250 0.087
0.905 0.750 0.913
0.199 0.250 0.730
0.801 0.750 0.270
0.333 0.750 0.347
0.667 0.250 0.653
0.088 0.250 0.381
0.259 0.750 0.993
0.434 0.750 0.674
0.566 0.250 0.326
0.741 0.250 0.007
0.912 0.750 0.619
```


The following is a PBE calculation of NaLa2Pr after structural relaxation, from Alexandria via LeMat-Bulk.

Output
Its formation enthalpy at 0 K is 0.1264 eV per atom. The value obtained for the energy above the most stable polymorph in this dataset is 0.043 eV/atom. Its space group is No. 166.

POSCAR file:
```
NaLa2Pr
1.0
1.826 1.054 13.221
-1.826 1.054 13.221
0.000 -2.108 13.221
Na La Pr
1 2 1
Direct
0.000 0.000 0.000
0.091 0.091 0.091
0.909 0.909 0.909
0.500 0.500 0.500
```


The following is a PBE calculation of NaLa2Pr after structural relaxation, from Alexandria via LeMat-Bulk.

Output
Its formation enthalpy at 0 K is 0.0830 eV per atom. The value obtained for the energy above the most stable polymorph in this dataset is 0.000 eV/atom. Its space group is No. 123.

POSCAR file:
```
NaLa2Pr
1.0
3.652 0.000 0.000
0.000 3.652 0.000
0.000 0.000 11.116
Na La Pr
1 2 1
Direct
0.000 0.000 0.000
0.500 0.500 0.267
0.500 0.500 0.733
0.000 0.000 0.500
```


no.,electronic total energy (eV/atom)
1,-5.173
2,-5.798
3,-4.290
4,-4.499
5,-5.257
6,-4.855
7,-4.458
8,-5.145
9,-5.163
10,-4.677
11,-3.862
12,-3.905